Here is SmFeRh2O6 after structural relaxation from Alexandria via LeMat-Bulk. Energies are from GGA+U.

Geometry as POSCAR:
```
SmFeRh2O6
1.0
5.3905 0.0001 0.0002
2.6953 4.6682 0.0001
2.6952 1.5563 4.7372
Sm Fe Rh O
1 1 2 6
direct
0.8001 0.8002 0.5995
0.3136 0.3136 0.0592
0.5171 0.5172 0.4486
0.0126 0.0126 0.9623
0.6151 0.2444 0.2247
0.2444 0.9158 0.2247
0.9158 0.6151 0.2247
0.3735 0.7136 0.7572
0.7136 0.1557 0.7572
0.1557 0.3735 0.7571
```

Summary:
- DFT total energy: -70.09 eV/f.u.
- Mass density: 7.08 Mg/m³